No. 1
DFT (PBE-GGA) results for a relaxed structure of Tl2Ag.

Cell: 8.7649 8.7649 5.2124 Å, 90.00 90.00 156.82°
Fractional coordinates of all 6 atoms:
Tl  0.0612  0.9388  0.7500
Tl  0.3675  0.6325  0.7500
Tl  0.6325  0.3675  0.2500
Tl  0.9388  0.0612  0.2500
Ag  0.2751  0.7249  0.2500
Ag  0.7249  0.2751  0.7500

- Symmetry: Cmcm, No. 63
- V: 157.6 Å³ per cell
- ρ: 10.9 g/cm³
- Calculated formation energy: 32 kJ/mol of formula units

=====

No. 2
DFT (PBE-GGA) results for a relaxed structure of TlAg2.

Cell: 7.2139 7.2139 4.6564 Å, 90.00 90.00 120.00°
Fractional coordinates of all 9 atoms:
Tl  0.0000  0.0000  0.0000
Tl  0.3333  0.6667  0.5000
Tl  0.6667  0.3333  0.5000
Ag  0.0000  0.2331  0.5000
Ag  0.0000  0.4804  0.0000
Ag  0.2331  0.0000  0.5000
Ag  0.4804  0.0000  0.0000
Ag  0.5196  0.5196  0.0000
Ag  0.7669  0.7669  0.5000

- E above lowest polymorph: 141.4 meV per atom
- Symmetry: P-62m, No. 189
- V: 209.9 Å³ per cell
- ρ: 10.0 g/cm³
- Calculated formation energy: 66 kJ/mol of formula units

=====

No. 3
DFT (PBE-GGA) results for a relaxed structure of TlAg2.

Cell: 5.7008 5.7008 18.6445 Å, 90.00 90.00 120.00°
Fractional coordinates of all 24 atoms:
Tl  0.0000  0.0000  0.0923
Tl  0.0000  0.0000  0.4077
Tl  0.0000  0.0000  0.5923
Tl  0.0000  0.0000  0.9077
Tl  0.3333  0.6667  0.1578
Tl  0.3333  0.6667  0.3422
Tl  0.6667  0.3333  0.6578
Tl  0.6667  0.3333  0.8422
Ag  0.0000  0.5000  0.0000
Ag  0.0000  0.5000  0.5000
Ag  0.1648  0.3296  0.7500
Ag  0.1648  0.8352  0.7500
Ag  0.3296  0.1648  0.2500
Ag  0.3333  0.6667  0.6247
Ag  0.3333  0.6667  0.8753
Ag  0.5000  0.0000  0.0000
Ag  0.5000  0.0000  0.5000
Ag  0.5000  0.5000  0.0000
Ag  0.5000  0.5000  0.5000
Ag  0.6667  0.3333  0.1247
Ag  0.6667  0.3333  0.3753
Ag  0.6704  0.8352  0.7500
Ag  0.8352  0.1648  0.2500
Ag  0.8352  0.6704  0.2500

- E above lowest polymorph: 0.0 meV per atom
- Symmetry: P6_3/mmc, No. 194
- V: 524.8 Å³ per cell
- ρ: 10.6 g/cm³
- Calculated formation energy: 26 kJ/mol of formula units

=====

No. 4
DFT (PBE-GGA) results for a relaxed structure of TlAg2.

Cell: 5.6873 5.6873 5.6873 Å, 60.00 60.00 60.00°
Fractional coordinates of all 6 atoms:
Tl  0.1250  0.1250  0.1250
Tl  0.8750  0.8750  0.8750
Ag  0.0000  0.5000  0.5000
Ag  0.5000  0.0000  0.5000
Ag  0.5000  0.5000  0.0000
Ag  0.5000  0.5000  0.5000

- E above lowest polymorph: 8.3 meV per atom
- Symmetry: Fd-3m, No. 227
- V: 130.1 Å³ per cell
- ρ: 10.7 g/cm³
- Calculated formation energy: 28 kJ/mol of formula units

=====

No. 5
DFT (PBE-GGA) results for a relaxed structure of TlAg2.

Cell: 6.0190 4.5208 9.2592 Å, 90.00 90.00 90.00°
Fractional coordinates of all 12 atoms:
Tl  0.1347  0.2500  0.0977
Tl  0.3653  0.7500  0.5977
Tl  0.6347  0.2500  0.4023
Tl  0.8653  0.7500  0.9023
Ag  0.1192  0.2500  0.7508
Ag  0.1254  0.2500  0.4277
Ag  0.3746  0.7500  0.9277
Ag  0.3808  0.7500  0.2508
Ag  0.6192  0.2500  0.7492
Ag  0.6254  0.2500  0.0723
Ag  0.8746  0.7500  0.5723
Ag  0.8808  0.7500  0.2492

- E above lowest polymorph: 45.7 meV per atom
- Symmetry: Pnma, No. 62
- V: 251.9 Å³ per cell
- ρ: 11.1 g/cm³
- Calculated formation energy: 39 kJ/mol of formula units

=====

No. 6
DFT (PBE-GGA) results for a relaxed structure of Tl2Ag.

Cell: 6.3619 6.3619 10.1138 Å, 90.00 90.00 120.00°
Fractional coordinates of all 12 atoms:
Tl  0.0000  0.0000  0.0000
Tl  0.0000  0.0000  0.5000
Tl  0.1718  0.3437  0.2500
Tl  0.1718  0.8282  0.2500
Tl  0.3437  0.1718  0.7500
Tl  0.6563  0.8282  0.2500
Tl  0.8282  0.1718  0.7500
Tl  0.8282  0.6563  0.7500
Ag  0.3333  0.6667  0.5271
Ag  0.3333  0.6667  0.9729
Ag  0.6667  0.3333  0.0271
Ag  0.6667  0.3333  0.4729

- Symmetry: P6_3/mmc, No. 194
- V: 354.5 Å³ per cell
- ρ: 9.7 g/cm³
- Calculated formation energy: 107 kJ/mol of formula units

=====

The records above give, respectively, total magnetization values of 0.0, 0.0, 0.0, 0.0, 0.0, 0.0 μB/cell.